No. 1
## CrPd2Pt4 (PBE)

Data for crystalline CrPd2Pt4 at its relaxed geometry.

The value obtained for the energy of formation from the pure elements is -37 meV/atom. As for the density of states at the Fermi level: 1.35 states/eV per atom. Its total energy is -6.35 eV/atom. As for the total magnetization: 2.575 μB/f.u.

Lattice parameters (Å, degrees): 7.611 7.873 3.830 90.00 90.00 90.00
Space group Cmmm (No. 65)
Asymmetric unit:
Cr (0.000, 0.000, 0.000) x2
Pd (0.224, 0.500, 0.500) x4
Pt (0.000, 0.231, 0.500) x4
Pt (0.250, 0.250, 0.000) x4

***

No. 2
## BaTa2Sb (PBE)

Data for crystalline BaTa2Sb at its relaxed geometry.

For the uncorrected formation energy, the calculation gives 20.56 kcal/mol of atoms. As for the density of states at the Fermi level: 2.02 states/eV per atom. Its total energy is -6.55 eV/atom. As for the total magnetization: 0.006 μB/f.u.

Lattice parameters (Å, degrees): 3.2013 3.2013 32.6794 90.00 90.00 120.00
Space group R-3m (No. 166, hexagonal axes)
Asymmetric unit:
Ba (0.0000, 0.0000, 0.0000) x3
Ta (0.0000, 0.0000, 0.2372) x6
Sb (0.0000, 0.0000, 0.5000) x3